# 1
PBE ZnOsCl2, relaxed; E above lowest polymorph = 0.188 eV/atom; calculated volume = 78 Å³ per cell; E_tot = -3.87 eV/atom
1.0
-2.0202 -2.3683 -0.6929
2.8988 -0.4839 1.2382
-3.5302 0.5326 8.4729
Cl Os Zn
2 1 1
direct
0.5000 0.5000 0.3154
0.0000 0.0000 0.9314
0.0000 0.0000 0.5105
0.5000 0.5000 0.7427



# 2
PBE MnTlVBr6, relaxed; calculated volume = 296 Å³ per cell; E_tot = -4.24 eV/atom
1.0
6.8276 0.0001 -0.0004
3.4139 5.9129 0.0001
0.0003 -0.0005 7.3364
Br V Mn Tl
6 1 1 1
direct
0.9880 0.6346 0.7023
0.3773 0.6346 0.2977
0.9880 0.3774 0.2977
0.3773 0.9880 0.7023
0.6346 0.3774 0.7023
0.6346 0.9880 0.2977
0.6666 0.6667 0.5000
0.3333 0.3333 0.5000
0.0000 0.0000 0.0000



# 3
PBE Ce3Y5S8, relaxed; calculated volume = 351 Å³ per cell; E_tot = -7.22 eV/atom
1.0
6.8551 0.0000 3.9266
2.3030 6.4567 3.9266
0.0097 0.0069 7.9301
Ce S Y
3 8 5
direct
0.5000 0.0000 0.5000
0.0000 0.5000 0.5000
0.0000 0.0000 0.5000
0.7436 0.2499 0.7565
0.2499 0.7436 0.7565
0.2535 0.2535 0.2396
0.7501 0.7501 0.2435
0.2499 0.2499 0.7565
0.7501 0.2564 0.2435
0.7465 0.7465 0.7604
0.2564 0.7501 0.2435
0.5000 0.0000 0.0000
0.5000 0.5000 0.0000
0.0000 0.5000 0.0000
0.0000 0.0000 0.0000
0.5000 0.5000 0.5000



| no. | total moment (Bohr magnetons per cell) |
| --- | --- |
| 1 | 0.0 |
| 2 | 7.0 |
| 3 | 1.9 |